This record from Alexandria via LeMat-Bulk describes an optimized crystal structure of EuTiClO3. The functional is PBE.

Summary:
As for the energy relative to the elements, uncorrected: -2.7446 eV/atom. As for the symmetry: C2/m (12). The value obtained for the density of states at the Fermi level is 15.4 states/eV/cell. The calculation puts the magnetization at 12.00 μB per cell. The value obtained for the total energy is -102.716 eV per cell.

Lattice parameters (Å, degrees): 5.3049 5.3049 10.3338 74.81 74.81 43.49
With the nearest neighbours (Å) after each atom.
Atoms (fractional coordinates):
Ti 0.6196 0.6196 0.5643  5 O 1.85-2.06
Eu 0.7785 0.7785 0.2026  3 O 2.23-2.30
Eu 0.2215 0.2215 0.7974  3 O 2.23-2.30
O 0.5761 0.5761 0.3810  2 Ti 1.85-2.06
O 0.4239 0.4239 0.6190  2 Ti 1.85-2.06
Cl 0.1119 0.1119 0.0970  4 Eu 2.96-3.16, 1 O 3.27
Ti 0.3804 0.3804 0.4357  5 O 1.85-2.06
O 0.8332 0.8332 0.4409  3 Ti 2.02-2.13
O 0.6507 0.6507 0.7366  1 Ti 1.89
O 0.3493 0.3493 0.2634  1 Ti 1.89
O 0.1668 0.1668 0.5591  3 Ti 2.02-2.13
Cl 0.8881 0.8881 0.9030  4 Eu 2.96-3.16, 1 O 3.27